1.
This record from the Alexandria database describes a relaxed BeZnIn2 crystal. The functional is PBE-GGA.

Summary:
- Magnetization: 0.0 μB/f.u.
- Calculated volume: 19.19 Å³ per atom
- Energy relative to the elements: 0.33 eV/atom

Cell and atoms, written as CIF:
```
data_BeZnIn2
_cell_length_a 8.632
_cell_length_b 8.632
_cell_length_c 8.632
_cell_angle_alpha 21.65
_cell_angle_beta 21.65
_cell_angle_gamma 21.65
_space_group_name_H-M_alt 'P 1'
_space_group_IT_number 1
loop_
_space_group_symop_operation_xyz
'x,y,z'
loop_
_atom_site_label
_atom_site_type_symbol
_atom_site_fract_x
_atom_site_fract_y
_atom_site_fract_z
Be1 Be 0.750 0.750 0.750
Zn1 Zn 0.250 0.250 0.250
In1 In 0.006 0.006 0.006
In2 In 0.494 0.494 0.494
```

***

2.
This record from the Alexandria database describes a relaxed Cs4Nd3ZrSe8 crystal. The functional is PBE-GGA.

Summary:
- Magnetization: 0.0 μB/f.u.
- Calculated volume: 33.62 Å³ per atom
- Total DFT energy (no corrections): -0.18292 Ha/atom

Cell and atoms, written as CIF:
```
data_Cs4Nd3ZrSe8
_cell_length_a 8.591
_cell_length_b 9.768
_cell_length_c 8.594
_cell_angle_alpha 116.13
_cell_angle_beta 119.99
_cell_angle_gamma 90.00
_space_group_name_H-M_alt 'P 1'
_space_group_IT_number 1
loop_
_space_group_symop_operation_xyz
'x,y,z'
loop_
_atom_site_label
_atom_site_type_symbol
_atom_site_fract_x
_atom_site_fract_y
_atom_site_fract_z
Cs1 Cs 0.500 0.000 0.000
Cs2 Cs 0.500 0.000 0.500
Cs3 Cs 0.000 0.000 0.000
Cs4 Cs 0.000 0.000 0.500
Nd1 Nd 0.500 0.500 0.000
Nd2 Nd 0.500 0.500 0.500
Nd3 Nd 0.000 0.500 0.500
Zr1 Zr 0.000 0.500 0.000
Se1 Se 0.219 0.687 0.968
Se2 Se 0.219 0.687 0.438
Se3 Se 0.268 0.305 0.537
Se4 Se 0.749 0.687 0.968
Se5 Se 0.251 0.313 0.032
Se6 Se 0.732 0.695 0.463
Se7 Se 0.781 0.313 0.562
Se8 Se 0.781 0.313 0.032
```

***

3.
This record from the Alexandria database describes a relaxed Sr2ReW crystal. The functional is PBE-GGA.

Summary:
- Magnetization: 0.0 μB/f.u.
- Calculated volume: 29.14 Å³ per atom
- Excess energy over the best structure of this formula in the dataset: 0.20 eV/f.u.
- Energy relative to the elements: 0.57 eV/atom

Cell and atoms, written as CIF:
```
data_Sr2ReW
_cell_length_a 3.486
_cell_length_b 3.486
_cell_length_c 9.589
_cell_angle_alpha 90.00
_cell_angle_beta 90.00
_cell_angle_gamma 90.00
_space_group_name_H-M_alt 'P 1'
_space_group_IT_number 1
loop_
_space_group_symop_operation_xyz
'x,y,z'
loop_
_atom_site_label
_atom_site_type_symbol
_atom_site_fract_x
_atom_site_fract_y
_atom_site_fract_z
Re1 Re 0.500 0.500 0.667
Sr1 Sr 0.000 0.000 0.925
Sr2 Sr 0.500 0.500 0.322
W1 W 0.000 0.000 0.585
```

***

4.
This record from the Alexandria database describes a relaxed PmDy2Y2Mg crystal. The functional is PBE-GGA.

Summary:
- Magnetization: 0.0 μB/f.u.
- Calculated volume: 36.96 Å³ per atom
- Energy relative to the elements: 0.49 eV/atom

Cell and atoms, written as CIF:
```
data_PmDy2Y2Mg
_cell_length_a 3.610
_cell_length_b 11.727
_cell_length_c 10.477
_cell_angle_alpha 90.00
_cell_angle_beta 90.00
_cell_angle_gamma 90.00
_space_group_name_H-M_alt 'P 1'
_space_group_IT_number 1
loop_
_space_group_symop_operation_xyz
'x,y,z'
loop_
_atom_site_label
_atom_site_type_symbol
_atom_site_fract_x
_atom_site_fract_y
_atom_site_fract_z
Pm1 Pm 0.500 0.500 0.000
Pm2 Pm 0.000 0.000 0.500
Dy1 Dy 0.500 0.772 0.419
Dy2 Dy 0.500 0.228 0.581
Dy3 Dy 0.000 0.728 0.919
Dy4 Dy 0.000 0.272 0.081
Y1 Y 0.500 0.069 0.245
Y2 Y 0.000 0.569 0.255
Y3 Y 0.500 0.931 0.755
Y4 Y 0.000 0.431 0.745
Mg1 Mg 0.000 0.000 0.000
Mg2 Mg 0.500 0.500 0.500
```

***

5.
This record from the Alexandria database describes a relaxed NpVSe2 crystal. The functional is PBE-GGA.

Summary:
- Magnetization: 4.8 μB/f.u.
- Calculated volume: 21.13 Å³ per atom
- Total DFT energy (no corrections): -0.27804 Ha/atom

Cell and atoms, written as CIF:
```
data_NpVSe2
_cell_length_a 3.266
_cell_length_b 3.266
_cell_length_c 9.341
_cell_angle_alpha 79.93
_cell_angle_beta 79.93
_cell_angle_gamma 60.00
_space_group_name_H-M_alt 'P 1'
_space_group_IT_number 1
loop_
_space_group_symop_operation_xyz
'x,y,z'
loop_
_atom_site_label
_atom_site_type_symbol
_atom_site_fract_x
_atom_site_fract_y
_atom_site_fract_z
Np1 Np 0.000 0.000 0.000
Se1 Se 0.108 0.108 0.677
Se2 Se 0.892 0.892 0.323
V1 V 0.500 0.500 0.500
```

***

6.
This record from the Alexandria database describes a relaxed Rb3Mg2PaS6 crystal. The functional is PBE-GGA.

Summary:
- Magnetization: 0.0 μB/f.u.
- Calculated volume: 25.91 Å³ per atom
- Total DFT energy (no corrections): -0.17620 Ha/atom

Cell and atoms, written as CIF:
```
data_Rb3Mg2PaS6
_cell_length_a 6.845
_cell_length_b 6.845
_cell_length_c 7.995
_cell_angle_alpha 98.16
_cell_angle_beta 98.16
_cell_angle_gamma 120.05
_space_group_name_H-M_alt 'P 1'
_space_group_IT_number 1
loop_
_space_group_symop_operation_xyz
'x,y,z'
loop_
_atom_site_label
_atom_site_type_symbol
_atom_site_fract_x
_atom_site_fract_y
_atom_site_fract_z
Rb1 Rb 0.170 0.830 0.500
Rb2 Rb 0.830 0.170 0.500
Rb3 Rb 0.500 0.500 0.500
Mg1 Mg 0.334 0.666 0.000
Mg2 Mg 0.666 0.334 0.000
Pa1 Pa 0.000 0.000 0.000
S1 S 0.938 0.607 0.814
S2 S 0.732 0.732 0.187
S3 S 0.062 0.393 0.186
S4 S 0.607 0.938 0.814
S5 S 0.268 0.268 0.813
S6 S 0.393 0.062 0.186
```

***

7.
This record from the Alexandria database describes a relaxed PrCo3P3 crystal. The functional is PBE-GGA.

Summary:
- Magnetization: 0.0 μB/f.u.
- Calculated volume: 16.93 Å³ per atom
- Energy relative to the elements: -0.71 eV/atom

Cell and atoms, written as CIF:
```
data_PrCo3P3
_cell_length_a 6.376
_cell_length_b 6.376
_cell_length_c 7.671
_cell_angle_alpha 65.44
_cell_angle_beta 65.44
_cell_angle_gamma 60.00
_space_group_name_H-M_alt 'P 1'
_space_group_IT_number 1
loop_
_space_group_symop_operation_xyz
'x,y,z'
loop_
_atom_site_label
_atom_site_type_symbol
_atom_site_fract_x
_atom_site_fract_y
_atom_site_fract_z
Pr1 Pr 0.333 0.333 0.001
Pr2 Pr 0.667 0.667 0.999
Co1 Co 0.473 0.784 0.622
Co2 Co 0.784 0.121 0.622
Co3 Co 0.121 0.473 0.622
Co4 Co 0.879 0.527 0.378
Co5 Co 0.216 0.879 0.378
Co6 Co 0.527 0.216 0.378
P1 P 0.219 0.588 0.296
P2 P 0.897 0.219 0.296
P3 P 0.588 0.897 0.296
P4 P 0.412 0.103 0.704
P5 P 0.103 0.781 0.704
P6 P 0.781 0.412 0.704
```

***

8.
This record from the Alexandria database describes a relaxed NaHf3S6 crystal. The functional is PBE-GGA.

Summary:
- Magnetization: 0.0 μB/f.u.
- Calculated volume: 22.37 Å³ per atom
- Total DFT energy (no corrections): -0.26102 Ha/atom

Cell and atoms, written as CIF:
```
data_NaHf3S6
_cell_length_a 3.633
_cell_length_b 10.756
_cell_length_c 12.140
_cell_angle_alpha 109.40
_cell_angle_beta 90.00
_cell_angle_gamma 90.00
_space_group_name_H-M_alt 'P 1'
_space_group_IT_number 1
loop_
_space_group_symop_operation_xyz
'x,y,z'
loop_
_atom_site_label
_atom_site_type_symbol
_atom_site_fract_x
_atom_site_fract_y
_atom_site_fract_z
Na1 Na 0.750 0.666 0.986
Na2 Na 0.250 0.334 0.014
Hf1 Hf 0.750 0.342 0.472
Hf2 Hf 0.250 0.658 0.528
Hf3 Hf 0.750 0.713 0.293
Hf4 Hf 0.250 0.287 0.707
Hf5 Hf 0.750 0.970 0.857
Hf6 Hf 0.250 0.030 0.143
S1 S 0.750 0.165 0.566
S2 S 0.250 0.835 0.434
S3 S 0.750 0.148 0.064
S4 S 0.250 0.852 0.936
S5 S 0.750 0.775 0.668
S6 S 0.250 0.225 0.332
S7 S 0.750 0.528 0.379
S8 S 0.250 0.472 0.621
S9 S 0.750 0.397 0.852
S10 S 0.250 0.603 0.148
S11 S 0.750 0.910 0.208
S12 S 0.250 0.090 0.792
```

***

9.
This record from the Alexandria database describes a relaxed Ca2MgAu crystal. The functional is PBE-GGA.

Summary:
- Magnetization: 0.0 μB/f.u.
- Calculated volume: 30.74 Å³ per atom
- Energy relative to the elements: -0.20 eV/atom

Cell and atoms, written as CIF:
```
data_Ca2MgAu
_cell_length_a 8.606
_cell_length_b 8.606
_cell_length_c 6.932
_cell_angle_alpha 51.63
_cell_angle_beta 51.63
_cell_angle_gamma 90.00
_space_group_name_H-M_alt 'P 1'
_space_group_IT_number 1
loop_
_space_group_symop_operation_xyz
'x,y,z'
loop_
_atom_site_label
_atom_site_type_symbol
_atom_site_fract_x
_atom_site_fract_y
_atom_site_fract_z
Ca1 Ca 0.675 0.125 0.250
Ca2 Ca 0.075 0.625 0.250
Ca3 Ca 0.375 0.325 0.750
Ca4 Ca 0.875 0.925 0.750
Au1 Au 0.000 0.000 0.000
Au2 Au 0.750 0.250 0.500
Mg1 Mg 0.500 0.500 0.000
Mg2 Mg 0.250 0.750 0.500
```

***

10.
This record from the Alexandria database describes a relaxed SrSc2Ru crystal. The functional is PBE-GGA.

Summary:
- Magnetization: 0.0 μB/f.u.
- Calculated volume: 25.43 Å³ per atom
- Excess energy over the best structure of this formula in the dataset: 0.69 eV/f.u.
- Energy relative to the elements: -0.03 eV/atom

Cell and atoms, written as CIF:
```
data_SrSc2Ru
_cell_length_a 6.089
_cell_length_b 6.089
_cell_length_c 6.089
_cell_angle_alpha 146.56
_cell_angle_beta 124.09
_cell_angle_gamma 66.74
_space_group_name_H-M_alt 'P 1'
_space_group_IT_number 1
loop_
_space_group_symop_operation_xyz
'x,y,z'
loop_
_atom_site_label
_atom_site_type_symbol
_atom_site_fract_x
_atom_site_fract_y
_atom_site_fract_z
Ru1 Ru 0.250 0.750 0.500
Sc1 Sc 0.063 0.063 0.000
Sc2 Sc 0.437 0.437 0.000
Sr1 Sr 0.750 0.250 0.500
```

***

11.
This record from the Alexandria database describes a relaxed Rb2SmInBr6 crystal. The functional is PBE-GGA.

Summary:
- Magnetization: 0.0 μB/f.u.
- Calculated volume: 40.45 Å³ per atom
- Total DFT energy (no corrections): -0.13080 Ha/atom

Cell and atoms, written as CIF:
```
data_Rb2SmInBr6
_cell_length_a 8.074
_cell_length_b 8.612
_cell_length_c 11.638
_cell_angle_alpha 90.00
_cell_angle_beta 88.99
_cell_angle_gamma 90.00
_space_group_name_H-M_alt 'P 1'
_space_group_IT_number 1
loop_
_space_group_symop_operation_xyz
'x,y,z'
loop_
_atom_site_label
_atom_site_type_symbol
_atom_site_fract_x
_atom_site_fract_y
_atom_site_fract_z
Rb1 Rb 0.029 0.923 0.253
Rb2 Rb 0.529 0.577 0.753
Rb3 Rb 0.971 0.077 0.747
Rb4 Rb 0.471 0.423 0.247
Sm1 Sm 0.500 0.000 0.500
Sm2 Sm 0.000 0.500 0.000
In1 In 0.500 0.000 0.000
In2 In 0.000 0.500 0.500
Br1 Br 0.288 0.680 0.053
Br2 Br 0.788 0.820 0.553
Br3 Br 0.712 0.320 0.947
Br4 Br 0.212 0.180 0.447
Br5 Br 0.328 0.720 0.437
Br6 Br 0.828 0.780 0.937
Br7 Br 0.672 0.280 0.563
Br8 Br 0.172 0.220 0.063
Br9 Br 0.884 0.541 0.233
Br10 Br 0.384 0.959 0.733
Br11 Br 0.116 0.459 0.767
Br12 Br 0.616 0.041 0.267
```

***

12.
This record from the Alexandria database describes a relaxed Tb4CoHg2 crystal. The functional is PBE-GGA.

Summary:
- Magnetization: 0.0 μB/f.u.
- Calculated volume: 27.84 Å³ per atom
- Excess energy over the best structure of this formula in the dataset: 0.00 eV/f.u.
- Energy relative to the elements: -0.21 eV/atom

Cell and atoms, written as CIF:
```
data_Tb4CoHg2
_cell_length_a 3.702
_cell_length_b 8.646
_cell_length_c 8.794
_cell_angle_alpha 136.18
_cell_angle_beta 90.00
_cell_angle_gamma 90.00
_space_group_name_H-M_alt 'P 1'
_space_group_IT_number 1
loop_
_space_group_symop_operation_xyz
'x,y,z'
loop_
_atom_site_label
_atom_site_type_symbol
_atom_site_fract_x
_atom_site_fract_y
_atom_site_fract_z
Tb1 Tb 0.500 0.905 0.765
Tb2 Tb 0.000 0.443 0.188
Tb3 Tb 0.500 0.238 0.378
Tb4 Tb 0.000 0.699 0.955
Co1 Co 0.000 0.071 0.071
Hg1 Hg 0.500 0.304 0.795
Hg2 Hg 0.500 0.839 0.348
```